Record 1
Material: MgGaP2
Method: DFT, PBE
State: relaxed

Values from the calculation:
space group	R-3m (166)
energy relative to the elements	0.197	eV/atom
electronic total energy	-3.6632	eV/atom
offset from the most stable computed form	406	meV/atom

The structure in extended XYZ format:
```
4
Lattice="1.816 1.048 7.655 -1.816 1.048 7.655 0.000 -2.096 7.655" Properties=species:S:1:pos:R:3 pbc="T T T"
Mg 0.000 0.000 0.000
Ga 0.000 0.000 11.483
P 0.000 0.000 2.462
P 0.000 0.000 20.504
```

---

Record 2
Material: Sm6DyHo2Mg
Method: DFT, PBE
State: relaxed

Values from the calculation:
space group	C2/c (15)
energy relative to the elements	0.121	eV/atom
electronic total energy	-4.2453	eV/atom

The structure in extended XYZ format:
```
20
Lattice="4.614 -7.514 0.000 4.614 7.514 0.000 -1.027 0.000 9.343" Properties=species:S:1:pos:R:3 pbc="T T T"
Sm 2.410 4.238 1.818
Sm 3.563 4.823 5.156
Sm 4.124 4.823 8.858
Sm 3.263 1.600 3.650
Sm 6.305 4.238 2.853
Sm 5.451 1.600 1.021
Sm 2.749 -1.600 8.322
Sm 1.896 -4.238 6.490
Sm 4.938 -1.600 5.693
Sm 4.076 -4.823 0.485
Sm 4.638 -4.823 4.187
Sm 5.791 -4.238 7.525
Dy 4.357 7.154 2.336
Dy 3.843 -7.154 7.007
Ho 2.297 0.778 0.474
Ho 1.783 -0.778 5.146
Ho 6.417 0.778 4.197
Ho 5.904 -0.778 8.869
Mg 3.843 1.311 7.007
Mg 4.357 -1.311 2.336
```

---

Record 3
Material: ZnCrSi2
Method: DFT, PBE
State: relaxed

Values from the calculation:
space group	P4/mmm (123)
ΔE_f (raw)	157	meV/atom
electronic total energy	-5.2793	eV/atom

The structure in extended XYZ format:
```
4
Lattice="2.661 0.000 0.000 0.000 2.661 0.000 0.000 0.000 7.791" Properties=species:S:1:pos:R:3 pbc="T T T"
Zn 0.000 0.000 0.000
Cr 0.000 0.000 3.895
Si 1.331 1.331 2.199
Si 1.331 1.331 5.592
```

---

Record 4
Material: PmNdRuO6
Method: DFT, PBE
State: relaxed

Values from the calculation:
space group	P-31c (163)
ΔE_f (raw)	-2170	meV/atom
electronic total energy	-7.5636	eV/atom

The structure in extended XYZ format:
```
18
Lattice="5.662 0.000 0.000 -2.831 4.903 0.000 0.000 0.000 9.581" Properties=species:S:1:pos:R:3 pbc="T T T"
Pm 0.000 0.000 0.000
Pm 0.000 0.000 4.791
Nd 0.000 3.269 2.395
Nd 2.831 1.634 7.186
Ru 0.000 3.269 7.186
Ru 2.831 1.634 2.395
O -0.758 1.850 6.083
O -1.608 3.322 8.289
O 0.758 1.850 8.289
O -0.850 4.635 6.083
O 1.981 0.268 1.293
O 1.223 1.581 3.498
O 1.608 3.322 6.083
O 0.850 4.635 8.289
O 3.681 0.268 3.498
O 2.073 3.054 1.293
O 4.439 1.581 1.293
O 3.589 3.054 3.498
```

---

Record 5
Material: Ce6IrPt2I3
Method: DFT, PBE
State: relaxed

Values from the calculation:
space group	C2/m (12)
ΔE_f (raw)	-978	meV/atom
electronic total energy	-6.0778	eV/atom

The structure in extended XYZ format:
```
12
Lattice="3.658 -6.336 0.000 3.658 6.336 0.000 -2.438 0.000 7.935" Properties=species:S:1:pos:R:3 pbc="T T T"
Ce 1.194 2.067 1.498
Ce -0.051 0.000 6.431
Ce 1.194 -2.067 1.498
Ce 3.685 2.067 6.436
Ce 4.929 0.000 1.503
Ce 3.685 -2.067 6.436
Ir 0.000 0.000 0.000
Pt 3.658 2.111 0.000
Pt 3.658 -2.111 0.000
I 2.439 4.214 3.967
I 2.439 0.000 3.967
I 2.439 -4.214 3.967
```

---

Record 6
Material: LiAgP2
Method: DFT, PBE
State: relaxed

Values from the calculation:
space group	P2/m (10)
energy relative to the elements	-0.098	eV/atom
electronic total energy	-3.9938	eV/atom
offset from the most stable computed form	41	meV/atom

The structure in extended XYZ format:
```
4
Lattice="3.139 0.000 0.000 0.000 4.023 0.000 -0.012 0.000 5.406" Properties=species:S:1:pos:R:3 pbc="T T T"
Li 0.000 0.000 0.000
Ag 1.563 0.000 2.703
P 1.568 2.011 1.061
P 1.559 2.011 4.345
```